Material: CaTaRuPb2
Method: DFT, GGA-PBE
State: optimized geometry

Lattice parameters (Å, degrees): 5.4321 5.5268 5.4321 90.00 90.00 90.00
With the nearest neighbours (Å) after each atom.
Atoms (fractional coordinates):
Ca  0.0000  0.5000  0.0000  2 Ta 2.76
Pb  0.5000  0.0000  0.0000  2 Ta 2.72
Pb  0.0000  0.0000  0.5000  2 Ta 2.72
Ru  0.5000  0.5000  0.5000  4 Ca 3.84, 8 Pb 3.87
Ta  0.0000  0.0000  0.0000  4 Pb 2.72, 2 Ca 2.76

## Properties
D(E_F)	7.01	states/eV per cell
formation energy from the elements	1448	meV/atom
total energy	-23.3	eV per cell

---

Material: CaY2RuPb
Method: DFT, GGA-PBE
State: optimized geometry

Lattice parameters (Å, degrees): 5.3225 5.3225 5.3986 90.00 90.00 90.00
With the nearest neighbours (Å) after each atom.
Atoms (fractional coordinates):
Ca  0.5000  0.5000  0.5000  4 Pb 3.76, 8 Y 3.79
Y  0.5000  0.0000  0.0000  2 Ru 2.66
Y  0.0000  0.5000  0.0000  2 Ru 2.66
Ru  0.0000  0.0000  0.0000  4 Y 2.66, 2 Pb 2.70
Pb  0.0000  0.0000  0.5000  2 Ru 2.70

## Properties
D(E_F)	2.64	states/eV per cell
formation energy from the elements	-150	meV/atom
total energy	-28.7	eV per cell